(1)
Compound: Sc2Te3
Source: Alexandria via LeMat-Bulk
Functional: PBE
Structure: relaxed

Values from the calculation:
SG   No. 71

Cell lengths 7.311, 7.311, 7.311 Å; angles 147.45, 132.75, 58.56 degrees
Fractional coordinates of all 5 atoms:
Sc: 0.663 0.663 0.000
Sc: 0.337 0.337 0.000
Te: 0.500 0.000 0.500
Te: 0.174 0.674 0.500
Te: 0.826 0.326 0.500

=====

(2)
Compound: ScTe5
Source: Alexandria via LeMat-Bulk
Functional: PBE
Structure: relaxed

Values from the calculation:
SG   No. 8

Cell lengths 5.953, 5.953, 8.716 Å; angles 81.54, 81.54, 37.74 degrees
Fractional coordinates of all 6 atoms:
Sc: 0.034 0.034 0.951
Te: 0.340 0.340 0.321
Te: 0.643 0.643 0.701
Te: 0.582 0.582 0.204
Te: 0.909 0.909 0.663
Te: 0.326 0.326 0.994

=====

(3)
Compound: ScTe3
Source: Alexandria via LeMat-Bulk
Functional: PBE
Structure: relaxed

Values from the calculation:
SG   No. 221

Cell lengths 5.584, 5.584, 5.584 Å; angles 90.00, 90.00, 90.00 degrees
Fractional coordinates of all 4 atoms:
Sc: 0.000 0.000 0.000
Te: 0.500 0.000 0.000
Te: 0.000 0.500 0.000
Te: 0.000 0.000 0.500

=====

(4)
Compound: ScTe
Source: Alexandria via LeMat-Bulk
Functional: PBE
Structure: relaxed

Values from the calculation:
SG   No. 217

Cell lengths 8.928, 8.928, 8.928 Å; angles 90.00, 90.00, 90.00 degrees
Fractional coordinates of all 16 atoms:
Sc: 0.128 0.128 0.128
Sc: 0.128 0.872 0.872
Sc: 0.872 0.128 0.872
Sc: 0.872 0.872 0.128
Sc: 0.628 0.628 0.628
Sc: 0.628 0.372 0.372
Sc: 0.372 0.628 0.372
Sc: 0.372 0.372 0.628
Te: 0.317 0.317 0.317
Te: 0.317 0.683 0.683
Te: 0.683 0.317 0.683
Te: 0.683 0.683 0.317
Te: 0.817 0.817 0.817
Te: 0.817 0.183 0.183
Te: 0.183 0.817 0.183
Te: 0.183 0.183 0.817

=====

In order of appearance, uncorrected formation energy = -1.195 -0.422 -0.260 -0.834 eV per atom.
In order of appearance, electronic total energy = -28.064 -24.575 -16.798 -89.136 eV/cell.